No. 1
An optimized crystal structure of Sr2CdPO, computed with PBE.

Properties
Total magnetization   0.000 μB per atom
Formation energy from raw total energies   -420 meV/atom
V   160.7 Å³ per cell

abc: 5.744 4.872 5.744
angles: 90.00 90.00 90.00
Sites, in units of the cell vectors:
Sr 0.000 0.000 0.500
Sr 0.500 0.000 0.000
O 0.500 0.500 0.500
P 0.000 0.000 0.000
Cd 0.000 0.500 0.000


No. 2
An optimized crystal structure of AlTe2Br, computed with PBE.

Properties
Total magnetization   0.000 μB per atom
Energy above the lowest structure with this stoichiometry   444 meV/atom
Formation energy from raw total energies   67 meV/atom
V   112.3 Å³ per cell

abc: 3.586 3.587 8.731
angles: 90.00 90.00 90.00
Sites, in units of the cell vectors:
Te 0.000 0.000 0.056
Te 0.500 0.500 0.275
Al 0.000 0.000 0.494
Br 0.500 0.500 0.674


No. 3
An optimized crystal structure of Ba3Sn4Pt2, computed with PBE.

Properties
Total magnetization   0.000 μB per atom
Energy above the lowest structure with this stoichiometry   14 meV/atom
V   292.8 Å³ per cell
Energy of formation   -0.7202 eV per atom

abc: 4.621 6.967 11.169
angles: 59.79 78.06 70.63
Sites, in units of the cell vectors:
Ba 0.328 0.693 0.651
Ba 0.000 0.000 0.000
Ba 0.672 0.307 0.349
Sn 0.270 0.378 0.082
Sn 0.730 0.622 0.918
Sn 0.047 0.279 0.628
Sn 0.953 0.721 0.372
Pt 0.392 0.939 0.277
Pt 0.608 0.061 0.723


No. 4
An optimized crystal structure of SbPRh2, computed with PBE.

Properties
Total magnetization   0.000 μB per atom
Energy above the lowest structure with this stoichiometry   241 meV/atom
Formation energy from raw total energies   -205 meV/atom
V   64.3 Å³ per cell

abc: 3.008 3.008 7.102
angles: 90.00 90.00 90.00
Sites, in units of the cell vectors:
Sb 0.500 0.500 0.000
P 0.500 0.500 0.500
Rh 0.000 0.000 0.693
Rh 0.000 0.000 0.307